# 1
The following is a DFT calculation (PBE-GGA) of an optimized crystal structure of CdCu2BS4.

Output
**Energy relative to the elements, uncorrected**: -2.93 eV/f.u.
**Space group**: I-42m, No. 121
**Size of the total moment**: 0.0 μB per formula unit
**Total energy**: -4.403 eV/atom

Lattice parameters (Å, degrees): 5.354 5.354 9.834 90.00 90.00 90.00
Fractional positions:
1 Cd 0.000 0.000 0.000
2 Cd 0.500 0.500 0.500
3 Cu 0.000 0.500 0.250
4 Cu 0.000 0.500 0.750
5 Cu 0.500 0.000 0.250
6 Cu 0.500 0.000 0.750
7 B 0.000 0.000 0.500
8 B 0.500 0.500 0.000
9 S 0.202 0.202 0.622
10 S 0.202 0.798 0.378
11 S 0.298 0.298 0.122
12 S 0.298 0.702 0.878
13 S 0.702 0.298 0.878
14 S 0.702 0.702 0.122
15 S 0.798 0.202 0.378
16 S 0.798 0.798 0.622

---

# 2
The following is a DFT calculation (PBE-GGA) of an optimized crystal structure of CdCuB2Sb.

Output
**Energy relative to the elements, uncorrected**: 5.58 eV/f.u.
**Space group**: P4/mmm, No. 123
**Size of the total moment**: 0.0 μB per formula unit
**Total energy**: -3.383 eV/atom

Lattice parameters (Å, degrees): 3.988 3.988 5.699 90.00 90.00 90.00
Fractional positions:
1 Cd 0.000 0.000 0.000
2 Cu 0.500 0.500 0.500
3 B 0.000 0.500 0.500
4 B 0.500 0.000 0.500
5 Sb 0.500 0.500 0.000

---

# 3
The following is a DFT calculation (PBE-GGA) of an optimized crystal structure of CdCuBW2.

Output
**Space group**: P4/mmm, No. 123
**Size of the total moment**: 1.0 μB per formula unit
**Total energy**: -5.054 eV/atom
**ΔH_f (0 K)**: 1189 kJ/mol of formula units

Lattice parameters (Å, degrees): 4.548 4.548 4.618 90.00 90.00 90.00
Fractional positions:
1 Cd 0.000 0.000 0.000
2 Cu 0.000 0.000 0.500
3 B 0.500 0.500 0.000
4 W 0.000 0.500 0.500
5 W 0.500 0.000 0.500

---

# 4
The following is a DFT calculation (PBE-GGA) of an optimized crystal structure of Cd2CuBW.

Output
**Space group**: P4/mmm, No. 123
**Size of the total moment**: 0.0 μB per formula unit
**Total energy**: -4.365 eV/atom
**ΔH_f (0 K)**: 360 kJ/mol of formula units

Lattice parameters (Å, degrees): 4.401 4.401 4.272 90.00 90.00 90.00
Fractional positions:
1 Cd 0.000 0.500 0.000
2 Cd 0.500 0.000 0.000
3 Cu 0.000 0.000 0.500
4 B 0.500 0.500 0.000
5 W 0.500 0.500 0.500

---

# 5
The following is a DFT calculation (PBE-GGA) of an optimized crystal structure of Dy2CdB2Rh5.

Output
**Space group**: P4/mbm, No. 127
**Size of the total moment**: 0.0 μB per formula unit
**Total energy**: -6.744 eV/atom
**ΔH_f (0 K)**: -696 kJ/mol of formula units

Lattice parameters (Å, degrees): 9.680 9.680 3.214 90.00 90.00 90.00
Fractional positions:
1 Dy 0.176 0.324 0.000
2 Dy 0.324 0.824 0.000
3 Dy 0.676 0.176 0.000
4 Dy 0.824 0.676 0.000
5 Cd 0.000 0.000 0.000
6 Cd 0.500 0.500 0.000
7 B 0.122 0.622 0.000
8 B 0.378 0.122 0.000
9 B 0.622 0.878 0.000
10 B 0.878 0.378 0.000
11 Rh 0.000 0.500 0.500
12 Rh 0.070 0.772 0.500
13 Rh 0.228 0.070 0.500
14 Rh 0.272 0.570 0.500
15 Rh 0.430 0.272 0.500
16 Rh 0.500 0.000 0.500
17 Rh 0.570 0.728 0.500
18 Rh 0.728 0.430 0.500
19 Rh 0.772 0.930 0.500
20 Rh 0.930 0.228 0.500

---

# 6
The following is a DFT calculation (PBE-GGA) of an optimized crystal structure of Dy3Cd2BRu3.

Output
**Space group**: P-62m, No. 189
**Size of the total moment**: 0.0 μB per formula unit
**Total energy**: -5.816 eV/atom
**ΔH_f (0 K)**: -213 kJ/mol of formula units

Lattice parameters (Å, degrees): 7.611 7.611 3.436 90.00 90.00 120.00
Fractional positions:
1 Dy 0.000 0.659 0.000
2 Dy 0.341 0.341 0.000
3 Dy 0.659 0.000 0.000
4 Cd 0.333 0.667 0.500
5 Cd 0.667 0.333 0.500
6 B 0.000 0.000 0.000
7 Ru 0.000 0.216 0.500
8 Ru 0.216 0.000 0.500
9 Ru 0.784 0.784 0.500

---

# 7
The following is a DFT calculation (PBE-GGA) of an optimized crystal structure of ErCdBO4.

Output
**Energy relative to the elements, uncorrected**: -14.32 eV/f.u.
**Space group**: Imma, No. 74
**Size of the total moment**: 0.0 μB per formula unit
**Total energy**: -6.616 eV/atom

Lattice parameters (Å, degrees): 6.019 6.019 6.019 122.37 115.91 91.59
Fractional positions:
1 Er 0.000 0.000 0.000
2 Er 0.500 0.000 0.500
3 Cd 0.500 0.000 0.000
4 Cd 0.500 0.500 0.500
5 B 0.121 0.371 0.750
6 B 0.879 0.629 0.250
7 O 0.175 0.733 0.442
8 O 0.209 0.267 0.942
9 O 0.232 0.259 0.527
10 O 0.232 0.705 0.973
11 O 0.768 0.295 0.027
12 O 0.768 0.741 0.473
13 O 0.791 0.733 0.058
14 O 0.825 0.267 0.558

---

# 8
The following is a DFT calculation (PBE-GGA) of an optimized crystal structure of CdBF2.

Output
**Energy above the most stable polymorph in this dataset**: 196.4 meV/atom
**Energy relative to the elements, uncorrected**: -1.21 eV/f.u.
**Space group**: R-3m, No. 166
**Size of the total moment**: 0.7 μB per formula unit
**Total energy**: -3.137 eV/atom

Lattice parameters (Å, degrees): 2.937 2.937 24.444 90.00 90.00 120.00
Fractional positions:
1 Cd 0.000 0.000 0.000
2 Cd 0.333 0.667 0.667
3 Cd 0.667 0.333 0.333
4 B 0.000 0.000 0.500
5 B 0.333 0.667 0.167
6 B 0.667 0.333 0.833
7 F 0.000 0.000 0.126
8 F 0.000 0.000 0.874
9 F 0.333 0.667 0.540
10 F 0.333 0.667 0.793
11 F 0.667 0.333 0.207
12 F 0.667 0.333 0.460